# 1
This record from Alexandria describes a relaxed structure of Pr6NpTe8. The functional is PBE.

Calculated values
For the energy relative to the elements, uncorrected, the calculation gives -1336 meV per atom. The total moment is 5.09 μB per formula unit. The crystal system is cubic. Its total energy is -5.7865 eV per atom.

abc: 12.7673 12.7673 12.7673
angles: 90.00 90.00 90.00
Last column: nearest neighbours and their distance in Å.
Space group Fm-3m (No. 225)
Symmetry-distinct sites (fractional):
Pr  0.0000  0.2500  0.2500  6 Te 3.19
Np  0.0000  0.0000  0.0000  6 Te 3.20
Te  0.0000  0.0000  0.2508  4 Pr 3.19, 1 Np 3.20
Te  0.2500  0.2500  0.2500  6 Pr 3.19


# 2
This record from Alexandria describes a relaxed structure of Ca3AgPd2. The functional is PBE.

Calculated values
For the distance to the lowest polymorph of the same formula, the calculation gives 0.003 eV per atom. The total moment is 0.00 μB per formula unit. The crystal system is orthorhombic. Its total energy is -3.7688 eV per atom.

abc: 5.1026 15.2393 3.5719
angles: 90.00 90.00 90.00
Last column: nearest neighbours and their distance in Å.
Space group Cmmm (No. 65)
Symmetry-distinct sites (fractional):
Ca  0.0000  0.0000  0.0000  4 Pd 3.05, 4 Ag 3.11
Ca  0.0000  0.3261  0.0000  6 Pd 3.07-3.12, 2 Ag 3.20
Ag  0.0000  0.5000  0.5000  8 Ca 3.11-3.20
Pd  0.0000  0.1626  0.5000  8 Ca 3.05-3.12


# 3
This record from Alexandria describes a relaxed structure of Dy3Mg3Co. The functional is PBE.

Calculated values
The total moment is 0.00 μB per formula unit. The crystal system is cubic. Its total energy is -3.7938 eV per atom.

abc: 14.1405 14.1405 14.1405
angles: 90.00 90.00 90.00
Last column: nearest neighbours and their distance in Å.
Space group Fd-3m (No. 227, origin choice 2)
Symmetry-distinct sites (fractional):
Dy  0.0694  0.3750  0.3750  2 Co 2.69
Mg  0.0000  0.0000  0.5000  6 Mg 3.03
Mg  0.0451  0.0451  0.7049  6 Mg 3.03-3.19
Co  0.0000  0.0000  0.0000  6 Dy 2.69


# 4
This record from Alexandria describes a relaxed structure of OsPtNO2. The functional is PBE.

Calculated values
For the energy relative to the elements, uncorrected, the calculation gives 535 meV per atom. The total moment is 0.00 μB per formula unit. The crystal system is tetragonal. Its total energy is -6.5670 eV per atom.

abc: 3.8349 3.8349 3.9793
angles: 90.00 90.00 90.00
Last column: nearest neighbours and their distance in Å.
Space group P4/mmm (No. 123)
Symmetry-distinct sites (fractional):
Os  0.0000  0.0000  0.0000  4 O 1.92, 2 N 1.99
Pt  0.5000  0.5000  0.5000  4 N 2.71, 8 O 2.76
N  0.0000  0.0000  0.5000  2 Os 1.99
O  0.0000  0.5000  0.0000  2 Os 1.92


# 5
This record from Alexandria describes a relaxed structure of CsCr2Rh. The functional is PBE.

Calculated values
The total moment is 0.00 μB per formula unit. The crystal system is cubic. Its total energy is -5.1108 eV per atom.

abc: 6.3922 6.3922 6.3922
angles: 90.00 90.00 90.00
Last column: nearest neighbours and their distance in Å.
Space group Fm-3m (No. 225)
Symmetry-distinct sites (fractional):
Cs  0.0000  0.0000  0.0000  8 Cr 2.77
Cr  0.2500  0.2500  0.2500  4 Rh 2.77, 4 Cs 2.77
Rh  0.0000  0.0000  0.5000  8 Cr 2.77


# 6
This record from Alexandria describes a relaxed structure of Ho3Pb4. The functional is PBE.

Calculated values
The total moment is 0.00 μB per formula unit. The crystal system is trigonal. Its total energy is -4.4621 eV per atom.

abc: 14.2310 14.2310 6.9322
angles: 90.00 90.00 120.00
Last column: nearest neighbours and their distance in Å.
Space group R-3 (No. 148, hexagonal axes)
Symmetry-distinct sites (fractional):
Ho  0.0481  0.8463  0.2449  7 Pb 3.10-3.42
Pb  0.0000  0.0000  0.0000  6 Ho 3.10, 2 Pb 3.47
Pb  0.0000  0.0000  0.5000  6 Ho 3.14, 2 Pb 3.47
Pb  0.0429  0.6020  0.3429  6 Ho 3.21-3.51, 3 Pb 3.27-3.33


# 7
This record from Alexandria describes a relaxed structure of Sc8TlNi2. The functional is PBE.

Calculated values
For the distance to the lowest polymorph of the same formula, the calculation gives 0.034 eV per atom. The total moment is 1.65 μB per formula unit. The crystal system is monoclinic. Its total energy is -6.0657 eV per atom.

abc: 8.1727 12.5375 4.8498
angles: 90.00 104.13 90.00
Last column: nearest neighbours and their distance in Å.
Space group C2/m (No. 12)
Symmetry-distinct sites (fractional):
Sc  0.0000  0.2491  0.0000  2 Ni 2.55
Sc  0.1078  0.5000  0.8021  2 Ni 2.81, 4 Sc 2.91-3.13, 1 Tl 3.11
Sc  0.2018  0.1281  0.5768  2 Ni 2.67-2.79
Tl  0.0000  0.0000  0.0000  12 Sc 3.11-3.34
Ni  0.0000  0.3107  0.5000  8 Sc 2.55-2.81


# 8
This record from Alexandria describes a relaxed structure of CaCdIn2. The functional is PBE.

Calculated values
The total moment is 0.00 μB per formula unit. The crystal system is cubic. Its total energy is -2.3446 eV per atom.

abc: 7.4836 7.4836 7.4836
angles: 90.00 90.00 90.00
Last column: nearest neighbours and their distance in Å.
Space group F-43m (No. 216)
Symmetry-distinct sites (fractional):
Ca  0.0000  0.0000  0.0000  4 Cd 3.24, 4 In 3.24
Cd  0.2500  0.2500  0.7500  4 In 3.24, 4 Ca 3.24
In  0.0000  0.0000  0.5000  4 Cd 3.24, 4 In 3.24
In  0.2500  0.2500  0.2500  4 In 3.24, 4 Ca 3.24


# 9
This record from Alexandria describes a relaxed structure of VReP3. The functional is PBE.

Calculated values
For the distance to the lowest polymorph of the same formula, the calculation gives 0.000 eV per atom. The total moment is 3.98 μB per formula unit. The crystal system is cubic. Its total energy is -6.7266 eV per atom.

abc: 4.6283 4.6283 4.6283
angles: 90.00 90.00 90.00
Last column: nearest neighbours and their distance in Å.
Space group Pm-3m (No. 221)
Symmetry-distinct sites (fractional):
V  0.0000  0.0000  0.0000  12 P 3.27
Re  0.5000  0.5000  0.5000  6 P 2.31
P  0.0000  0.5000  0.5000  2 Re 2.31


# 10
This record from Alexandria describes a relaxed structure of Cr2AgMo. The functional is PBE.

Calculated values
For the distance to the lowest polymorph of the same formula, the calculation gives 0.599 eV per atom. The total moment is 4.94 μB per formula unit. The crystal system is tetragonal. Its total energy is -7.2849 eV per atom.

abc: 6.8815 6.8815 5.6940
angles: 90.00 90.00 90.00
Last column: nearest neighbours and their distance in Å.
Space group I-42d (No. 122)
Symmetry-distinct sites (fractional):
Cr  0.2244  0.2500  0.1250  2 Mo 2.42, 2 Ag 2.66
Ag  0.0000  0.0000  0.5000  4 Cr 2.66, 2 Mo 2.85
Mo  0.0000  0.0000  0.0000  4 Cr 2.42


# 11
This record from Alexandria describes a relaxed structure of RbH6I3. The functional is PBE.

Calculated values
The total moment is 0.00 μB per formula unit. The crystal system is triclinic. Its total energy is -2.8944 eV per atom.

abc: 6.6014 8.3461 11.3314
angles: 86.36 79.01 77.66
Last column: nearest neighbours and their distance in Å.
Space group P-1 (No. 2)
Symmetry-distinct sites (fractional):
Rb  0.0000  0.0000  0.0000  8 H 3.14-3.31
Rb  0.0000  0.5000  0.5000  4 H 3.21-3.23
H  0.1415  0.3294  0.0274  1 H 0.75
H  0.1835  0.3381  0.9612  1 H 0.75
H  0.2932  0.1421  0.5195  1 H 0.75
H  0.3813  0.1820  0.4878  1 H 0.75
H  0.4947  0.0699  0.1265  1 H 0.75
H  0.4945  0.8548  0.9124  1 H 0.75
I  0.1132  0.7949  0.7062  1 I 2.96
I  0.2091  0.7974  0.2673  1 I 2.99
I  0.4521  0.5015  0.7209  2 I 2.96-2.99


# 12
This record from Alexandria describes a relaxed structure of CsNaBeI4. The functional is PBE.

Calculated values
For the energy relative to the elements, uncorrected, the calculation gives -1052 meV per atom. The total moment is 0.00 μB per formula unit. The crystal system is monoclinic. Its total energy is -2.7806 eV per atom.

abc: 7.4096 8.1558 10.2748
angles: 90.00 109.22 90.00
Last column: nearest neighbours and their distance in Å.
Space group P2_1/m (No. 11)
Symmetry-distinct sites (fractional):
Cs  0.2414  0.2500  0.4301  8 I 3.84-4.19
Na  0.2744  0.2500  0.9467  6 I 3.14-3.48
Be  0.2998  0.7500  0.1815  4 I 2.41-2.45
I  0.0795  0.7500  0.9495  1 Be 2.41
I  0.1283  0.7500  0.3481  1 Be 2.45
I  0.4919  0.0101  0.7824  1 Be 2.44


| no. | volume (Å³ per cell) |
| --- | --- |
| 1 | 2081.1 |
| 2 | 277.7 |
| 3 | 2827.5 |
| 4 | 58.5 |
| 5 | 261.2 |
| 6 | 1215.8 |
| 7 | 481.9 |
| 8 | 419.1 |
| 9 | 99.1 |
| 10 | 269.6 |
| 11 | 598.5 |
| 12 | 586.3 |